(1)
VASP calculation (PBE) on crystalline V2Mo2Pt7 at its relaxed geometry.

Cell lengths 6.064, 5.067, 6.064 Å; angles 98.47, 100.35, 81.53 degrees
Fractional positions:
V: 0.745 0.805 0.255
V: 0.255 0.195 0.745
Mo: 0.838 0.500 0.838
Mo: 0.162 0.500 0.162
Pt: 0.954 0.246 0.417
Pt: 0.417 0.754 0.954
Pt: 0.046 0.754 0.583
Pt: 0.583 0.246 0.046
Pt: 0.000 0.000 0.000
Pt: 0.483 0.756 0.517
Pt: 0.517 0.244 0.483

Computed properties:
The value obtained for the formation energy from the elements is -0.135 eV per atom. As for the space group: No. 12.

***

(2)
VASP calculation (PBE) on crystalline Mg2ZrRh2 at its relaxed geometry.

Cell lengths 3.198, 3.264, 9.197 Å; angles 79.78, 90.00, 90.00 degrees
Fractional positions:
Mg: 0.000 0.175 0.650
Mg: 0.000 0.825 0.350
Zr: 0.000 0.000 0.000
Rh: 0.500 0.412 0.176
Rh: 0.500 0.588 0.824

Computed properties:
Its offset from the most stable computed form is 0.00 eV per formula unit. The value obtained for the formation energy from the elements is -0.564 eV per atom. As for the space group: No. 65.

***

(3)
VASP calculation (PBE) on crystalline NbAl2V2 at its relaxed geometry.

Cell lengths 7.566, 7.566, 2.718 Å; angles 90.00, 90.00, 90.00 degrees
Fractional positions:
Nb: 0.000 0.000 0.000
Nb: 0.500 0.500 0.000
Al: 0.184 0.684 0.500
Al: 0.684 0.816 0.500
Al: 0.816 0.316 0.500
Al: 0.316 0.184 0.500
V: 0.390 0.890 0.000
V: 0.890 0.610 0.000
V: 0.610 0.110 0.000
V: 0.110 0.390 0.000

Computed properties:
Its offset from the most stable computed form is 1.06 eV per formula unit. The value obtained for the formation energy from the elements is 0.005 eV per atom. As for the space group: No. 127.